Below is a PBEsol-optimized structure of Mg4Sc3, with properties calculated at the SCAN level.

Unit cell a=5.667 b=5.865 c=5.865 alpha=120.00 beta=90.00 gamma=90.00
Atoms (fractional coordinates):
Sc1 0.000 0.500 0.500
Sc2 0.000 0.000 0.500
Sc3 0.000 0.500 0.000
Mg1 0.751 0.000 0.000
Mg2 0.500 0.667 0.333
Mg3 0.500 0.333 0.667
Mg4 0.249 0.000 0.000

Distance to the lowest polymorph of the same formula = 195.2 meV per atom
Formation energy = 0.147 eV per atom
Final energy = -8.797 eV per atom
Symmetry = P6/mmm
Density = 2.283 Mg/m³
Total moment = 0.0 μB/f.u.



Below is a PBEsol-optimized structure of TiBe2Ir, with properties calculated at the SCAN level.

Unit cell a=3.538 b=3.538 c=8.766 alpha=101.64 beta=101.64 gamma=90.00
Atoms (fractional coordinates):
Be1 0.625 0.673 0.750
Be2 0.327 0.875 0.250
Be3 0.125 0.077 0.750
Be4 0.923 0.375 0.250
Ir1 0.250 0.750 0.500
Ir2 0.000 0.000 0.000
Ti1 0.500 0.500 0.000
Ti2 0.750 0.250 0.500

Distance to the lowest polymorph of the same formula = 653.5 meV per atom
Formation energy = -0.065 eV per atom
Final energy = -24.024 eV per atom
Symmetry = I-42d
Density = 8.150 Mg/m³
Total moment = 0.0 μB/f.u.



Below is a PBEsol-optimized structure of Hg2AuCl, with properties calculated at the SCAN level.

Unit cell a=3.364 b=3.364 c=8.240 alpha=90.00 beta=90.00 gamma=112.52
Atoms (fractional coordinates):
Au1 0.000 0.000 0.493
Cl1 0.500 0.500 0.272
Hg1 0.500 0.500 0.732
Hg2 0.000 0.000 0.003

Distance to the lowest polymorph of the same formula = 7.8 meV per atom
Final energy = -53.356 eV per atom
Formation energy (no corrections) = 0.010 eV/atom
Symmetry = Cmm2
Density = 12.214 Mg/m³
Total moment = 0.0 μB/f.u.



Below is a PBEsol-optimized structure of Li4V3Cr3Sb2O16, with properties calculated at the SCAN level.

Unit cell a=5.793 b=5.807 c=10.120 alpha=90.36 beta=90.00 gamma=119.92
Site moments in Bohr magnetons follow the coordinates.
Atoms (fractional coordinates):
Sb1 0.335 0.670 0.009  -0.03
Sb2 0.664 0.328 0.501  -0.08
Cr1 0.832 0.173 0.219  2.72
Cr2 0.166 0.332 0.714  2.76
Cr3 0.341 0.173 0.219  2.72
O1 0.980 0.500 0.326  -0.06
O2 0.023 0.519 0.818  -0.05
O3 0.154 0.846 0.109  -0.01
O4 0.847 0.693 0.608  -0.05
O5 0.516 0.031 0.325  -0.03
O6 0.521 0.500 0.326  -0.06
O7 0.999 0.997 0.309  -0.01
O8 0.692 0.846 0.109  -0.01
O9 0.157 0.315 0.108  0.00
O10 0.998 0.995 0.808  -0.01
O11 0.496 0.519 0.818  -0.05
O12 0.490 0.981 0.825  -0.04
O13 0.309 0.147 0.606  -0.04
O14 0.672 0.344 0.109  -0.01
O15 0.837 0.147 0.606  -0.04
O16 0.332 0.663 0.603  -0.02
V1 0.823 0.645 0.223  0.81
V2 0.644 0.819 0.717  1.07
V3 0.175 0.819 0.717  1.07
Li1 0.338 0.677 0.395  0.00
Li2 0.998 0.995 0.493  0.00
Li3 0.001 0.002 0.994  0.00
Li4 0.669 0.338 0.896  0.00

Final energy = -12.702 eV per atom
Formation energy (no corrections) = -2.294 eV/atom
Symmetry = Cm
Density = 4.705 Mg/m³
Total moment = 11.0 μB/f.u.



Below is a PBEsol-optimized structure of Zn2CuSe, with properties calculated at the SCAN level.

Unit cell a=3.285 b=3.636 c=5.882 alpha=108.00 beta=106.21 gamma=90.00
Atoms (fractional coordinates):
Zn1 0.809 0.309 0.617
Zn2 0.990 0.990 0.980
Cu1 0.507 0.507 0.015
Se1 0.194 0.694 0.388

Final energy = -15.520 eV per atom
Formation energy (no corrections) = 0.057 eV/atom
Symmetry = Imm2
Density = 7.106 Mg/m³
Total moment = 0.0 μB/f.u.



Below is a PBEsol-optimized structure of AsPBr2, with properties calculated at the SCAN level.

Unit cell a=3.564 b=5.672 c=5.778 alpha=98.42 beta=90.00 gamma=108.31
Atoms (fractional coordinates):
As1 0.166 0.332 0.759
Br1 0.764 0.528 0.318
Br2 0.980 0.960 0.932
P1 0.590 0.180 0.491

Distance to the lowest polymorph of the same formula = 10.2 meV per atom
Final energy = -17.559 eV per atom
Formation energy (no corrections) = -0.182 eV/atom
Symmetry = Cm
Density = 4.027 Mg/m³
Total moment = 0.0 μB/f.u.



Below is a PBEsol-optimized structure of Cd2PRu2, with properties calculated at the SCAN level.

Unit cell a=4.554 b=5.964 c=5.964 alpha=90.00 beta=90.00 gamma=90.00
Atoms (fractional coordinates):
Cd1 0.500 0.336 0.164
Cd2 0.500 0.164 0.664
Cd3 0.500 0.836 0.336
Cd4 0.500 0.664 0.836
Ru1 0.000 0.847 0.653
Ru2 0.000 0.653 0.153
Ru3 0.000 0.153 0.347
Ru4 0.000 0.347 0.847
P1 0.000 0.500 0.500
P2 0.000 0.000 0.000

Formation energy = -0.186 eV per atom
Final energy = -28.362 eV per atom
Symmetry = P4/mbm
Density = 9.391 Mg/m³
Total moment = 0.0 μB/f.u.



Below is a PBEsol-optimized structure of K2Tl, with properties calculated at the SCAN level.

Unit cell a=4.233 b=4.233 c=8.119 alpha=105.11 beta=105.11 gamma=90.00
Atoms (fractional coordinates):
Tl1 0.000 0.000 0.000
K1 0.637 0.637 0.275
K2 0.363 0.363 0.725

Distance to the lowest polymorph of the same formula = 52.0 meV per atom
Formation energy = -0.066 eV per atom
Final energy = -29.738 eV per atom
Symmetry = I4/mmm
Density = 3.470 Mg/m³
Total moment = 0.0 μB/f.u.



Below is a PBEsol-optimized structure of K2S2O7, with properties calculated at the SCAN level.

Unit cell a=7.203 b=7.203 c=7.274 alpha=88.16 beta=88.16 gamma=60.92
Atoms (fractional coordinates):
O1 0.765 0.347 0.495
O2 0.235 0.653 0.505
O3 0.078 0.922 0.250
O4 0.196 0.138 0.083
O5 0.804 0.862 0.917
O6 0.922 0.078 0.750
O7 0.852 0.450 0.779
O8 0.653 0.235 0.005
O9 0.138 0.196 0.583
O10 0.347 0.765 0.995
O11 0.450 0.852 0.279
O12 0.148 0.550 0.221
O13 0.550 0.148 0.721
O14 0.862 0.804 0.417
K1 0.506 0.201 0.352
K2 0.494 0.799 0.648
K3 0.201 0.506 0.852
K4 0.799 0.494 0.148
S1 0.714 0.082 0.858
S2 0.286 0.918 0.142
S3 0.082 0.714 0.358
S4 0.918 0.286 0.642

Final energy = -9.130 eV per atom
Formation energy (no corrections) = -1.900 eV/atom
Symmetry = C2/c
Density = 2.562 Mg/m³
Total moment = 0.0 μB/f.u.



Below is a PBEsol-optimized structure of ZnFe2Co, with properties calculated at the SCAN level.

Unit cell a=2.867 b=2.867 c=5.511 alpha=90.00 beta=90.00 gamma=90.00
Site moments in Bohr magnetons follow the coordinates.
Atoms (fractional coordinates):
Fe1 0.500 0.500 0.238  2.78
Fe2 0.000 0.000 0.996  2.76
Zn1 0.000 0.000 0.503  -0.10
Co1 0.500 0.500 0.763  1.58

Formation energy = -0.028 eV per atom
Final energy = -16.798 eV per atom
Symmetry = P4mm
Density = 8.652 Mg/m³
Total moment = 6.9 μB/f.u.



Below is a PBEsol-optimized structure of Re4As5S4, with properties calculated at the SCAN level.

Unit cell a=6.988 b=6.988 c=6.988 alpha=60.00 beta=60.00 gamma=60.00
Atoms (fractional coordinates):
Re1 0.599 0.203 0.599
Re2 0.599 0.599 0.599
Re3 0.599 0.599 0.203
Re4 0.203 0.599 0.599
As1 0.855 0.855 0.855
As2 0.855 0.434 0.855
As3 0.855 0.855 0.434
As4 0.000 0.000 0.000
As5 0.434 0.855 0.855
S1 0.368 0.368 0.368
S2 0.368 0.368 0.897
S3 0.897 0.368 0.368
S4 0.368 0.897 0.368

Final energy = -32.966 eV per atom
Formation energy (no corrections) = -0.362 eV/atom
Symmetry = F-43m
Density = 8.587 Mg/m³
Total moment = 0.0 μB/f.u.



Below is a PBEsol-optimized structure of BeTc2Se, with properties calculated at the SCAN level.

Unit cell a=3.715 b=3.715 c=8.809 alpha=102.17 beta=102.17 gamma=90.00
Atoms (fractional coordinates):
Se1 0.000 0.000 0.000
Se2 0.250 0.750 0.500
Be1 0.500 0.500 0.000
Be2 0.750 0.250 0.500
Tc1 0.125 0.169 0.750
Tc2 0.625 0.581 0.750
Tc3 0.419 0.875 0.250
Tc4 0.831 0.375 0.250

Distance to the lowest polymorph of the same formula = 391.5 meV per atom
Final energy = -23.190 eV per atom
Formation energy (no corrections) = 0.448 eV/atom
Symmetry = I-42d
Density = 8.128 Mg/m³
Total moment = 0.0 μB/f.u.



> The highest total moment belongs to which entry?

Li4V3Cr3Sb2O16



> Look up the density of the fourth one.

4.705 Mg/m³



> Look up the density of the twelfth one.

8.128 Mg/m³